# Ba4NaU3S12

Ba4NaU3S12 after structural relaxation (PBE-GGA, Alexandria via LeMat-Bulk).

a = 10.4248 Å, b = 10.4248 Å, c = 10.4248 Å
α = 90.00°, β = 90.00°, γ = 90.00°
With the nearest neighbours (Å) after each atom.
Space group Im-3m (No. 229)
Symmetry-distinct sites (fractional):
Ba1 0.2500 0.2500 0.2500 (multiplicity 8)  12 S 3.69
Na1 0.0000 0.0000 0.0000 (multiplicity 2)  6 S 2.71
U1 0.0000 0.0000 0.5000 (multiplicity 6)  6 S 2.50-2.61
S1 0.0000 0.0000 0.2598 (multiplicity 12)  1 U 2.50, 1 Na 2.71
S2 0.0000 0.2500 0.5000 (multiplicity 12)  2 U 2.61

## Properties
raw total energy	-249.22	eV/cell
spin magnetization	6.01	μB per cell